1.
Density functional theory data (GGA-PBE) for a relaxed structure of Cs3YEr2Te6.

Properties
Crystal system   monoclinic
Formation energy (no corrections)   -1380.5 meV per atom

```
Cs3YEr2Te6
1.0
3.928 -6.804 0.000
3.928 6.804 0.000
-2.618 0.000 8.912
Cs Y Er Te
3 1 2 6
Cartesian
0.000 0.000 0.000
3.928 2.257 0.000
3.928 -2.257 0.000
2.619 0.000 4.456
2.619 4.535 4.456
2.619 -4.535 4.456
1.301 2.283 2.773
-0.017 0.000 6.136
1.301 -2.283 2.773
3.938 2.283 6.139
5.255 0.000 2.776
3.938 -2.283 6.139
```

***

2.
Density functional theory data (GGA-PBE) for a relaxed structure of Cs3Y2ErTe6.

Properties
Crystal system   monoclinic
Formation energy (no corrections)   -1391.5 meV per atom

```
Cs3Y2ErTe6
1.0
3.937 -6.819 0.000
3.937 6.819 0.000
-2.625 0.000 8.914
Cs Y Er Te
3 2 1 6
Cartesian
0.000 0.000 0.000
3.937 2.286 0.000
3.937 -2.286 0.000
2.625 4.548 4.457
2.625 -4.548 4.457
2.625 0.000 4.457
1.321 2.258 2.770
0.018 0.000 6.148
1.321 -2.258 2.770
3.928 2.258 6.144
5.231 0.000 2.766
3.928 -2.258 6.144
```

***

3.
Density functional theory data (GGA-PBE) for a relaxed structure of CsErZnTe3.

Properties
Crystal system   monoclinic
Formation energy (no corrections)   -1075.5 meV per atom

```
CsErZnTe3
1.0
10.319 0.000 0.000
0.000 4.426 0.000
-4.161 0.000 10.115
Cs Er Zn Te
2 2 2 6
Cartesian
1.217 1.106 2.483
4.940 3.319 7.632
-0.181 3.319 8.731
6.338 1.106 1.384
-1.679 1.106 6.155
7.836 3.319 3.959
-2.341 1.106 8.710
-0.191 3.319 5.514
4.239 3.319 1.632
1.918 1.106 8.483
6.349 1.106 4.601
8.498 3.319 1.405
```

***

4.
Density functional theory data (GGA-PBE) for a relaxed structure of CsErZnTe3.

Properties
Crystal system   orthorhombic
Formation energy (no corrections)   -1094.4 meV per atom

```
CsErZnTe3
1.0
2.209 -8.665 0.000
2.209 8.665 0.000
0.000 0.000 11.677
Cs Er Zn Te
2 2 2 6
Cartesian
2.209 4.368 8.758
2.209 -4.368 2.919
2.209 0.000 0.000
2.209 0.000 5.839
2.209 8.044 2.919
2.209 -8.044 8.758
2.209 6.626 0.667
2.209 6.626 5.172
2.209 1.037 2.919
2.209 -1.037 8.758
2.209 -6.626 6.505
2.209 -6.626 11.010
```

***

5.
Density functional theory data (GGA-PBE) for a relaxed structure of CsErTl.

Properties
Crystal system   monoclinic
Fermi-level density of states   12.3 states/eV/cell
Formation energy from the elements   0.1 eV per formula unit

```
CsErTl
1.0
26.583 0.000 0.000
0.000 3.862 0.000
-0.019 0.000 5.453
Cs Er Tl
4 4 4
Cartesian
2.216 0.000 1.350
11.056 1.931 4.104
15.507 1.931 1.350
24.348 0.000 4.104
6.158 1.931 1.361
7.114 0.000 4.092
19.450 0.000 1.361
20.405 1.931 4.092
4.434 1.931 4.081
8.838 0.000 1.373
17.725 0.000 4.081
22.130 1.931 1.373
```

***

6.
Density functional theory data (GGA-PBE) for a relaxed structure of CsEu2.

Properties
Crystal system   cubic
Fermi-level density of states   44.3 states/eV/cell
Formation energy from the elements   0.7 eV per formula unit

```
CsEu2
1.0
0.000 5.705 5.705
5.705 0.000 5.705
5.705 5.705 0.000
Cs Eu
2 4
Cartesian
1.426 1.426 1.426
9.983 9.983 9.983
5.705 2.852 2.852
2.852 5.705 2.852
2.852 2.852 5.705
5.705 5.705 5.705
```

***

7.
Density functional theory data (GGA-PBE) for a relaxed structure of Cs2EuF4.

Properties
Crystal system   tetragonal
Formation energy (no corrections)   -3141.8 meV per atom
Fermi-level density of states   27.0 states/eV/cell

```
Cs2EuF4
1.0
4.806 0.000 0.000
0.000 4.806 0.000
0.000 0.000 15.169
Cs Eu F
4 2 8
Cartesian
0.000 0.000 2.272
0.000 0.000 12.897
2.403 2.403 5.312
2.403 2.403 9.856
0.000 0.000 7.584
2.403 2.403 0.000
0.000 0.000 5.167
0.000 0.000 10.002
0.000 2.403 0.000
0.000 2.403 7.584
2.403 0.000 0.000
2.403 0.000 7.584
2.403 2.403 2.417
2.403 2.403 12.751
```

***

8.
Density functional theory data (GGA-PBE) for a relaxed structure of CsEuH.

Properties
Crystal system   orthorhombic
Fermi-level density of states   8.2 states/eV/cell
Final energy   -57.33 eV/cell

```
CsEuH
1.0
15.288 0.000 0.000
0.000 4.038 0.000
0.000 0.000 6.882
Cs Eu H
4 4 4
Cartesian
1.945 0.000 0.000
1.945 2.019 3.441
13.343 0.000 0.000
13.343 2.019 3.441
5.993 0.000 3.820
5.993 2.019 0.379
9.295 0.000 3.820
9.295 2.019 0.379
0.000 0.000 4.563
0.000 2.019 1.121
7.644 0.000 6.099
7.644 2.019 2.657
```

***

9.
Density functional theory data (GGA-PBE) for a relaxed structure of CsEuHg2.

Properties
Crystal system   tetragonal
Fermi-level density of states   4.2 states/eV/cell
Formation energy from the elements   -1.3 eV per formula unit

```
CsEuHg2
1.0
4.115 0.000 0.000
0.000 4.115 0.000
0.000 0.000 8.827
Cs Eu Hg
1 1 2
Cartesian
0.000 0.000 0.000
0.000 0.000 4.413
2.057 2.057 2.734
2.057 2.057 6.093
```

***

10.
Density functional theory data (GGA-PBE) for a relaxed structure of Cs2EuI4.

Properties
Crystal system   tetragonal
Formation energy (no corrections)   -1574.7 meV per atom

```
Cs2EuI4
1.0
6.363 0.000 0.000
0.000 6.363 0.000
0.000 0.000 19.510
Cs Eu I
4 2 8
Cartesian
0.000 0.000 2.721
0.000 0.000 16.789
3.181 3.181 7.034
3.181 3.181 12.476
0.000 0.000 9.755
3.181 3.181 0.000
0.000 0.000 6.527
0.000 0.000 12.983
0.000 3.181 0.000
0.000 3.181 9.755
3.181 0.000 0.000
3.181 0.000 9.755
3.181 3.181 3.228
3.181 3.181 16.282
```

***

11.
Density functional theory data (GGA-PBE) for a relaxed structure of Cs2EuI.

Properties
Crystal system   trigonal
Formation energy (no corrections)   -496.0 meV per atom
Fermi-level density of states   45.1 states/eV/cell

```
Cs2EuI
1.0
4.786 0.000 0.000
-2.393 4.145 0.000
0.000 0.000 42.058
Cs Eu I
6 3 3
Cartesian
0.000 0.000 4.404
0.000 0.000 37.654
0.000 2.763 23.635
0.000 2.763 32.442
2.393 1.382 9.615
2.393 1.382 18.423
0.000 0.000 0.000
0.000 2.763 28.039
2.393 1.382 14.019
0.000 0.000 21.029
0.000 2.763 7.010
2.393 1.382 35.048
```

***

12.
Density functional theory data (GGA-PBE) for a relaxed structure of Cs5Eu3I12.

Properties
Crystal system   cubic
Formation energy (no corrections)   -1409.9 meV per atom
Fermi-level density of states   206.3 states/eV/cell

```
Cs5Eu3I12
1.0
-11.098 11.098 11.098
11.098 -11.098 11.098
11.098 11.098 -11.098
Cs Eu I
20 12 48
Cartesian
0.000 0.000 0.000
5.549 5.549 -5.549
5.549 -5.549 5.549
11.098 0.000 0.000
16.647 2.774 0.000
11.098 -5.549 8.323
8.323 11.098 -5.549
8.323 0.000 5.549
5.549 8.323 0.000
11.098 5.549 2.774
-5.549 5.549 5.549
0.000 11.098 0.000
0.000 0.000 11.098
5.549 5.549 5.549
0.000 5.549 8.323
5.549 2.774 11.098
2.774 11.098 5.549
2.774 0.000 16.647
0.000 16.647 2.774
-5.549 8.323 11.098
5.549 2.774 0.000
11.098 5.549 -2.774
2.774 0.000 5.549
13.872 0.000 5.549
0.000 5.549 2.774
5.549 -2.774 11.098
5.549 13.872 0.000
11.098 5.549 8.323
-2.774 11.098 5.549
8.323 11.098 5.549
0.000 5.549 13.872
5.549 8.323 11.098
9.141 -4.581 4.954
18.603 -0.595 0.968
9.141 6.517 -4.954
7.505 0.595 0.968
11.693 10.130 -7.505
4.954 -1.957 4.581
4.581 4.954 -1.957
12.066 3.592 -0.595
6.517 -4.954 9.141
10.130 -7.505 11.693
4.954 9.141 -4.581
11.693 0.968 3.592
11.693 -0.968 7.505
16.052 1.957 4.581
6.517 4.954 1.957
10.130 7.505 -0.595
0.968 7.505 0.595
15.679 6.144 1.957
0.595 0.968 7.505
4.954 1.957 6.517
-1.957 4.581 4.954
7.505 -0.595 10.130
7.505 11.693 -0.968
9.141 4.581 6.144
1.957 6.517 4.954
3.592 -0.595 12.066
3.592 11.693 0.968
13.054 6.517 6.144
6.144 9.141 4.581
10.503 10.130 3.592
-4.581 4.954 9.141
10.130 3.592 10.503
0.968 3.592 11.693
4.581 6.144 9.141
-4.954 9.141 6.517
-0.595 12.066 3.592
-0.595 10.130 7.505
6.144 1.957 15.679
0.968 18.603 -0.595
4.581 16.052 1.957
-0.968 7.505 11.693
6.517 6.144 13.054
6.144 13.054 6.517
-0.595 0.968 18.603
3.592 10.503 10.130
1.957 4.581 16.052
-7.505 11.693 10.130
1.957 15.679 6.144
```

***

Spin magnetization
In order: 0.00; 0.00; 0.00; 0.00; 0.00; 5.01; 0.99; 2.47; 1.94; 1.00; 1.91; 1.00
Unit: μB/atom